No. 1
VASP calculation (SCAN) on a crystal of SrMnAg2 relaxed with PBEsol.

abc: 6.9226 6.9226 6.9226
angles: 90.00 90.00 90.00
Space group F-43m (No. 216)
Inequivalent atoms, fractional coordinates:
Sr 0.0000 0.0000 0.0000 (multiplicity 4)
Mn 0.2500 0.2500 0.7500 (multiplicity 4)
Ag 0.0000 0.0000 0.5000 (multiplicity 4)
Ag 0.2500 0.2500 0.2500 (multiplicity 4)

## Properties
total moment	16.50	μB per cell
energy of formation from the pure elements	0.12	eV/atom
final energy	-25.69	eV/atom

---

No. 2
VASP calculation (SCAN) on a crystal of SmGd2S4 relaxed with PBEsol.

abc: 8.3159 8.3159 8.2453
angles: 90.00 90.00 90.00
Space group I-42d (No. 122)
Inequivalent atoms, fractional coordinates:
Sm 0.0000 0.0000 0.0000 (multiplicity 4)
Gd 0.1304 0.7500 0.6250 (multiplicity 8)
S 0.0739 0.6737 0.9483 (multiplicity 16)

## Properties
total moment	57.80	μB per cell
final energy	-30.91	eV/atom
E_form (uncorrected)	-1521	kJ/mol of formula units

---

What did the first record say?
VASP calculation (SCAN) on a crystal of SrMnAg2 relaxed with PBEsol.

abc: 6.9226 6.9226 6.9226
angles: 90.00 90.00 90.00
Space group F-43m (No. 216)
Inequivalent atoms, fractional coordinates:
Sr 0.0000 0.0000 0.0000 (multiplicity 4)
Mn 0.2500 0.2500 0.7500 (multiplicity 4)
Ag 0.0000 0.0000 0.5000 (multiplicity 4)
Ag 0.2500 0.2500 0.2500 (multiplicity 4)

## Properties
total moment	16.50	μB per cell
energy of formation from the pure elements	0.12	eV/atom
final energy	-25.69	eV/atom